First-principles (PBEsol) data for a relaxed LiNi2Cl crystal, as listed in Alexandria via LeMat-Bulk.

Unit cell a=3.245 b=3.245 c=5.767 alpha=90.00 beta=90.00 gamma=90.00
Positions (direct):
Cl (0.500, 0.500, 0.500)
Li (0.000, 0.000, 0.500)
Ni (0.000, 0.500, 0.000)
Ni (0.500, 0.000, 0.000)

Computed properties:
As for the total magnetization: 1.74 Bohr magnetons per cell. As for the uncorrected formation energy: 0.02 eV per atom. As for the space group: P4/mmm. The total energy comes out at -16.22 eV per cell. The calculation puts the energy above the most stable polymorph in this dataset at 0 meV/atom.